No. 1
First-principles (GGA-PBEsol) data for a geometry-optimized Nd6In22Pt13 structure, as listed in the Alexandria database.

## Properties
formation enthalpy at 0 K = -28.67 eV/f.u.
calculated volume = 20.75 A^3/atom
ρ = 11.57 Mg/m³
symmetry = C2/m (12)
VASP energy = -5.2640 eV per atom

a b c (Å): 4.4100 14.2123 14.8595
angles (deg): 112.09 90.00 98.93
With the nearest neighbours (Å) after each atom.
Element x y z (fractional)
Nd1 0.4533 0.9067 0.3007  2 Pt 3.00, 6 In 3.16-3.28
Nd2 0.8367 0.6734 0.4699  1 Pt 2.79
Nd3 0.5467 0.0933 0.6993  2 Pt 3.00, 6 In 3.16-3.28
Nd4 0.1633 0.3266 0.5301  1 Pt 2.79
Nd5 0.8212 0.6424 0.9195  4 Pt 3.19-3.37, 10 In 3.20-3.50
Nd6 0.1788 0.3576 0.0805  4 Pt 3.19-3.37, 10 In 3.20-3.50
In1 0.3259 0.6517 0.2813  4 Pt 2.78-2.97
In2 0.8762 0.7523 0.1690  4 Pt 2.70-2.76, 1 In 2.96
In3 0.6741 0.3483 0.7187  4 Pt 2.78-2.97
In4 0.4343 0.8685 0.4968  5 Pt 2.75-2.86
In5 0.8569 0.7137 0.7183  5 Pt 2.81-2.88
In6 0.7275 0.4551 0.2463  3 Pt 2.73-2.84, 2 In 2.92-2.99
In7 0.2380 0.4759 0.9161  3 Pt 2.72-2.73, 2 In 2.92-2.96
In8 0.4079 0.8159 0.0473  4 Pt 2.76-2.78
In9 0.0554 0.1107 0.0643  4 Pt 2.82-3.07, 5 In 2.97-3.16
In10 0.9578 0.9157 0.6598  4 Pt 2.79-3.03
In11 0.7620 0.5241 0.0839  3 Pt 2.72-2.73, 2 In 2.92-2.96
In12 0.7126 0.4252 0.4349  4 Pt 2.75-2.84, 1 In 2.99
In13 0.5657 0.1315 0.5032  5 Pt 2.75-2.86
In14 0.2874 0.5748 0.5651  4 Pt 2.75-2.84, 1 In 2.99
In15 0.2725 0.5449 0.7537  3 Pt 2.73-2.84, 2 In 2.92-2.99
In16 0.9446 0.8893 0.9357  4 Pt 2.82-3.07, 5 In 2.97-3.16
In17 0.5921 0.1841 0.9527  4 Pt 2.76-2.78
In18 0.5291 0.0583 0.1789  4 Pt 2.69-2.77
In19 0.1238 0.2477 0.8310  4 Pt 2.70-2.76, 1 In 2.96
In20 0.4709 0.9417 0.8211  4 Pt 2.69-2.77
In21 0.1431 0.2863 0.2817  5 Pt 2.81-2.88
In22 0.0422 0.0843 0.3402  4 Pt 2.79-3.03
Pt1 0.6187 0.2374 0.1518  7 In 2.69-2.84
Pt2 0.9007 0.8013 0.3647  5 In 2.72-2.97, 1 Pt 2.75, 3 Nd 2.79-3.00
Pt3 0.0329 0.0658 0.8618  7 In 2.73-2.94
Pt4 0.3933 0.7865 0.6379  7 In 2.75-2.88
Pt5 0.0993 0.1987 0.6353  5 In 2.72-2.97, 1 Pt 2.75, 3 Nd 2.79-3.00
Pt6 0.2512 0.5024 0.3631  7 In 2.73-2.84
Pt7 0.0000 0.0000 0.5000  2 Pt 2.75, 6 In 2.86-3.03
Pt8 0.3202 0.6404 0.0901  7 In 2.70-2.78
Pt9 0.6798 0.3596 0.9098  7 In 2.70-2.78
Pt10 0.3813 0.7626 0.8482  7 In 2.69-2.84
Pt11 0.9671 0.9342 0.1382  7 In 2.73-2.94
Pt12 0.7488 0.4976 0.6369  7 In 2.73-2.84
Pt13 0.6067 0.2135 0.3621  7 In 2.75-2.88

No. 2
First-principles (GGA-PBEsol) data for a geometry-optimized La2HgSb structure, as listed in the Alexandria database.

## Properties
uncorrected formation energy = -0.84 eV/atom
calculated volume = 28.46 A^3/atom
offset from the most stable computed form = 0.0000 eV/atom
ρ = 8.75 Mg/m³
symmetry = P4/mmm (123)
VASP energy = -4.7969 eV per atom

a b c (Å): 4.1506 5.2374 5.2374
angles (deg): 90.00 90.00 90.00
With the nearest neighbours (Å) after each atom.
Element x y z (fractional)
Sb1 0.5000 0.5000 0.5000  8 La 3.34, 4 Hg 3.70
Hg1 0.5000 0.0000 0.0000  8 La 3.34, 4 Sb 3.70
La1 0.0000 0.0000 0.5000  4 Hg 3.34, 4 Sb 3.34, 4 La 3.70
La2 0.0000 0.5000 0.0000  4 Hg 3.34, 4 Sb 3.34, 4 La 3.70

No. 3
First-principles (GGA-PBEsol) data for a geometry-optimized Tc3N structure, as listed in the Alexandria database.

## Properties
uncorrected formation energy = -0.26 eV/atom
calculated volume = 11.71 A^3/atom
ρ = 10.92 Mg/m³
symmetry = P-6m2 (187)
VASP energy = -10.8373 eV per atom

a b c (Å): 2.7824 2.7824 6.9849
angles (deg): 90.00 90.00 120.00
With the nearest neighbours (Å) after each atom.
Element x y z (fractional)
Tc1 0.3333 0.6667 0.5000  12 Tc 2.66-2.78
Tc2 0.6667 0.3333 0.1961  3 N 2.11
Tc3 0.6667 0.3333 0.8039  3 N 2.11
N1 0.3333 0.6667 0.0000  6 Tc 2.11

No. 4
First-principles (GGA-PBEsol) data for a geometry-optimized CrAgAu2 structure, as listed in the Alexandria database.

## Properties
formation enthalpy at 0 K = 0.78 eV/f.u.
calculated volume = 16.43 A^3/atom
ρ = 13.99 Mg/m³
symmetry = F-43m (216)
VASP energy = -5.1560 eV per atom

a b c (Å): 4.5295 4.5295 4.5295
angles (deg): 60.00 60.00 60.00
With the nearest neighbours (Å) after each atom.
Element x y z (fractional)
Ag1 0.5000 0.5000 0.5000  4 Au 2.77, 4 Cr 2.77
Au1 0.0000 0.0000 0.0000  4 Cr 2.77, 4 Au 2.77
Au2 0.2500 0.2500 0.2500  4 Au 2.77, 4 Ag 2.77
Cr1 0.7500 0.7500 0.7500  4 Ag 2.77, 4 Au 2.77

No. 5
First-principles (GGA-PBEsol) data for a geometry-optimized Sc3GeP structure, as listed in the Alexandria database.

## Properties
formation enthalpy at 0 K = -0.56 eV/f.u.
calculated volume = 23.54 A^3/atom
ρ = 3.37 Mg/m³
symmetry = Pm-3m (221)
VASP energy = -6.2219 eV per atom

a b c (Å): 4.9004 4.9004 4.9004
angles (deg): 90.00 90.00 90.00
With the nearest neighbours (Å) after each atom.
Element x y z (fractional)
Sc1 0.0000 0.5000 0.0000  2 Ge 2.45
Sc2 0.0000 0.0000 0.5000  2 Ge 2.45
Sc3 0.5000 0.0000 0.0000  2 Ge 2.45
P1 0.5000 0.5000 0.5000  12 Sc 3.47
Ge1 0.0000 0.0000 0.0000  6 Sc 2.45

No. 6
First-principles (GGA-PBEsol) data for a geometry-optimized AsPdO2F structure, as listed in the Alexandria database.

## Properties
uncorrected formation energy = -0.43 eV/atom
calculated volume = 11.80 A^3/atom
ρ = 6.54 Mg/m³
symmetry = P4/mmm (123)
VASP energy = -5.1263 eV per atom

a b c (Å): 3.8299 3.8299 4.0233
angles (deg): 90.00 90.00 90.00
With the nearest neighbours (Å) after each atom.
Element x y z (fractional)
As1 0.0000 0.0000 0.0000  4 O 1.91, 2 F 2.01
O1 0.0000 0.5000 0.0000  2 As 1.91
O2 0.5000 0.0000 0.0000  2 As 1.91
Pd1 0.5000 0.5000 0.5000  4 F 2.71, 8 O 2.78
F1 0.0000 0.0000 0.5000  2 As 2.01

Q: Number 5 is which compound?
A: Sc3GeP

What did the fourth record say?
First-principles (GGA-PBEsol) data for a geometry-optimized CrAgAu2 structure, as listed in the Alexandria database.

## Properties
formation enthalpy at 0 K = 0.78 eV/f.u.
calculated volume = 16.43 A^3/atom
ρ = 13.99 Mg/m³
symmetry = F-43m (216)
VASP energy = -5.1560 eV per atom

a b c (Å): 4.5295 4.5295 4.5295
angles (deg): 60.00 60.00 60.00
With the nearest neighbours (Å) after each atom.
Element x y z (fractional)
Ag1 0.5000 0.5000 0.5000  4 Au 2.77, 4 Cr 2.77
Au1 0.0000 0.0000 0.0000  4 Cr 2.77, 4 Au 2.77
Au2 0.2500 0.2500 0.2500  4 Au 2.77, 4 Ag 2.77
Cr1 0.7500 0.7500 0.7500  4 Ag 2.77, 4 Au 2.77

Q: Which value of VASP energy does entry 1 give?
A: -5.2640 eV per atom